Entry 1:
Compound: Ac4Sn3Pd
Source: Alexandria
Functional: PBE-GGA
Structure: optimized geometry

For the formation energy, the calculation gives -5.575 eV/f.u.

The structure belongs to space group Pmm2 (No. 25); the cell edges are 4.674, 4.789 and 12.164 Å and the angles 90.00°, 90.00° and 90.00°. The asymmetric unit holds Ac at (0.000, 0.000, 0.000), Ac at (0.000, 0.500, 0.471), Ac at (0.500, 0.000, 0.702), Ac at (0.500, 0.500, 0.210), Sn at (0.000, 0.500, 0.761), Sn at (0.500, 0.000, 0.417), Sn at (0.500, 0.500, 0.928) and Pd at (0.000, 0.000, 0.270).


Entry 2:
Compound: RbH3
Source: Alexandria
Functional: PBE-GGA
Structure: optimized geometry

The calculation puts the energy above the lowest structure with this stoichiometry at 0.0079 eV/atom.

The structure belongs to space group Cm (No. 8); the cell edges are 7.284, 5.236 and 5.155 Å and the angles 90.00°, 134.26° and 90.00°. The asymmetric unit holds Rb at (0.000, 0.000, 0.000), H at (0.003, 0.500, 0.252), H at (0.496, 0.000, 0.824) and H at (0.497, 0.000, 0.675).


These records have total moment values of 0.002, 0.000 μB/atom, in the order they appear.